DFT (PBE-GGA) results for an optimized crystal structure of NdSmY.

Geometry as POSCAR:
```
NdSmY
1.0
-2.476 -1.806 -1.941
3.487 -0.992 -0.136
-1.308 -5.530 6.815
Nd Y Sm
1 1 1
Cartesian
0.630 -4.939 3.792
-0.923 -3.370 0.923
-0.005 -0.019 0.024
```

Fermi-level density of states	4.28	states/eV per cell
size of the total moment	0.00	μB per cell
total DFT energy (no corrections)	-15.91	eV per cell
energy relative to the lowest polymorph listed for this composition	0	meV per atom
formation energy	1.47	kJ/mol of atoms

DFT (PBE-GGA) results for an optimized crystal structure of Nd4Sm8Y.

Geometry as POSCAR:
```
Nd4Sm8Y
1.0
-4.489 9.707 3.466
-1.122 -3.202 -10.718
-0.471 -7.551 2.305
Sm Nd Y
8 4 1
Cartesian
-3.578 -3.153 -4.580
-2.740 -1.533 0.745
-1.249 -8.188 -6.377
-4.832 7.142 1.430
-5.414 5.481 -4.129
-2.504 2.107 -0.367
-3.341 0.487 -5.692
-0.667 -6.527 -0.818
0.000 0.000 0.000
-2.244 4.854 1.733
-0.561 -1.601 -5.359
-2.805 3.252 -3.626
-0.796 -5.377 -4.206
```

Fermi-level density of states	19.42	states/eV per cell
size of the total moment	1.21	μB per cell
total DFT energy (no corrections)	-56.99	eV per cell
formation energy	46.78	kJ/mol of atoms

DFT (PBE-GGA) results for an optimized crystal structure of Nd3Sm6Y2.

Geometry as POSCAR:
```
Nd3Sm6Y2
1.0
-2.127 1.693 -5.683
-4.909 -6.386 1.099
-14.497 -1.829 -3.236
Sm Nd Y
6 3 2
Cartesian
-13.864 -5.240 -2.171
-7.677 -5.682 -1.142
-8.309 -2.253 -2.205
-13.856 -0.840 -6.679
-13.225 -4.269 -5.616
-7.669 -1.282 -5.650
-11.082 -1.552 -4.446
0.000 0.000 0.000
-10.451 -4.970 -3.375
-4.894 -1.986 -3.409
-16.639 -4.536 -4.411
```

Fermi-level density of states	15.20	states/eV per cell
size of the total moment	0.00	μB per cell
total DFT energy (no corrections)	-55.40	eV per cell
energy relative to the lowest polymorph listed for this composition	0	meV per atom
formation energy	1.27	kJ/mol of atoms

DFT (PBE-GGA) results for an optimized crystal structure of NdSm7Y2.

Geometry as POSCAR:
```
NdSm7Y2
1.0
-2.043 0.893 4.609
-7.802 3.952 1.467
1.205 -10.804 -0.222
Sm Y Nd
7 2 1
Cartesian
-3.700 -2.340 4.500
-4.940 -3.619 1.355
-8.210 2.008 4.505
-0.431 -7.967 1.349
-4.923 2.422 3.038
-5.343 -5.552 4.393
-3.298 -0.408 1.461
-6.581 -0.807 2.927
-2.059 -5.153 2.927
0.000 0.000 0.000
```

Fermi-level density of states	13.91	states/eV per cell
size of the total moment	0.00	μB per cell
total DFT energy (no corrections)	-50.60	eV per cell
energy relative to the lowest polymorph listed for this composition	0	meV per atom
formation energy	1.29	kJ/mol of atoms

DFT (PBE-GGA) results for an optimized crystal structure of NdSm5Y12.

Geometry as POSCAR:
```
NdSm5Y12
1.0
15.223 -0.011 0.001
7.605 7.622 0.000
0.000 0.000 5.084
Sm Y Nd
5 12 1
Cartesian
7.607 5.072 2.542
7.611 -0.006 2.542
15.219 5.075 5.085
7.609 2.535 0.000
15.221 2.538 2.543
10.147 2.534 2.542
10.151 5.074 0.001
17.756 5.074 2.543
2.541 2.545 0.000
12.681 5.076 2.543
20.282 7.612 2.542
5.072 2.537 2.542
20.287 5.066 5.085
10.149 -0.007 5.084
2.547 -0.001 2.543
12.677 2.536 5.084
12.679 7.617 0.001
0.000 0.000 0.000
```

Fermi-level density of states	27.25	states/eV per cell
size of the total moment	0.00	μB per cell
total DFT energy (no corrections)	-105.57	eV per cell
formation energy	1.96	kJ/mol of atoms

DFT (PBE-GGA) results for an optimized crystal structure of NdSm5Y.

Geometry as POSCAR:
```
NdSm5Y
1.0
-5.056 -0.331 -4.715
-2.489 -6.014 -2.353
-13.903 -4.947 3.212
Nd Sm Y
2 10 2
Cartesian
0.000 0.000 0.000
-6.952 -2.473 1.606
-16.024 -6.834 0.999
-16.209 -8.430 -2.318
-6.566 -5.920 -2.103
-5.425 -4.458 -4.855
-12.097 -5.544 0.155
-9.079 -4.346 -0.613
-14.883 -5.372 -1.753
-9.352 -5.747 -4.010
-12.370 -6.946 -3.243
-5.239 -2.862 -1.538
-13.474 -8.489 -0.457
-7.974 -2.802 -3.398
```

Fermi-level density of states	24.37	states/eV per cell
size of the total moment	0.00	μB per cell
total DFT energy (no corrections)	-66.97	eV per cell
energy relative to the lowest polymorph listed for this composition	27	meV per atom
formation energy	18.49	kJ/mol of atoms

DFT (PBE-GGA) results for an optimized crystal structure of Nd3Sm5Y4.

Geometry as POSCAR:
```
Nd3Sm5Y4
1.0
6.981 -0.399 1.876
-5.251 7.568 -6.813
4.122 -3.886 11.770
Y Sm Nd
4 5 3
Cartesian
0.099 1.805 0.006
4.779 3.346 3.899
5.753 1.478 6.826
1.073 -0.063 2.933
2.265 1.681 5.891
3.587 1.602 0.941
5.551 -2.142 6.823
2.601 3.484 -2.000
3.251 -0.201 8.832
2.061 -1.943 5.885
1.279 3.547 2.954
4.573 -0.264 3.879
```

Fermi-level density of states	16.14	states/eV per cell
size of the total moment	0.00	μB per cell
total DFT energy (no corrections)	-63.60	eV per cell
energy relative to the lowest polymorph listed for this composition	0	meV per atom
formation energy	1.26	kJ/mol of atoms

DFT (PBE-GGA) results for an optimized crystal structure of Nd2Sm3Y6.

Geometry as POSCAR:
```
Nd2Sm3Y6
1.0
-0.833 -3.566 -3.065
4.643 -1.115 0.035
-4.523 -8.147 14.425
Y Nd Sm
6 2 3
Cartesian
-1.579 -6.325 7.786
-1.053 -4.331 1.604
0.340 -8.497 9.791
-2.399 -9.722 8.241
1.686 -3.106 3.154
0.866 -6.503 3.609
-2.380 -9.533 11.735
1.667 -3.295 -0.340
0.332 -8.643 6.243
0.000 0.000 0.000
-1.045 -4.185 5.152
```

Fermi-level density of states	17.69	states/eV per cell
size of the total moment	0.00	μB per cell
total DFT energy (no corrections)	-59.50	eV per cell
energy relative to the lowest polymorph listed for this composition	86	meV per atom
formation energy	26.10	kJ/mol of atoms

DFT (PBE-GGA) results for an optimized crystal structure of Nd8Sm2Y.

Geometry as POSCAR:
```
Nd8Sm2Y
1.0
8.229 2.318 4.001
4.443 7.950 4.694
3.894 2.018 9.259
Y Nd Sm
1 8 2
Cartesian
0.000 0.000 0.000
10.556 5.023 10.462
8.694 4.876 7.380
6.009 7.263 7.493
10.847 8.306 12.096
5.718 3.980 5.858
5.772 4.699 9.466
7.872 7.410 10.574
10.794 7.587 8.488
4.042 2.220 3.370
12.524 10.066 14.584
```

Fermi-level density of states	18.54	states/eV per cell
size of the total moment	0.00	μB per cell
total DFT energy (no corrections)	-52.74	eV per cell
energy relative to the lowest polymorph listed for this composition	0	meV per atom
formation energy	11.46	kJ/mol of atoms

DFT (PBE-GGA) results for an optimized crystal structure of Nd5SmY6.

Geometry as POSCAR:
```
Nd5SmY6
1.0
11.824 -1.300 0.000
1.774 6.034 0.000
0.887 3.017 5.445
Sm Y Nd
1 6 5
Cartesian
0.000 0.000 0.000
10.201 3.546 3.631
3.395 1.186 0.000
10.202 3.548 0.000
4.283 4.204 1.814
5.170 7.221 3.631
9.314 0.529 1.814
6.799 2.367 0.000
6.799 2.367 3.631
7.685 5.384 1.814
0.887 3.017 1.816
1.774 6.034 3.629
```

Fermi-level density of states	14.35	states/eV per cell
size of the total moment	0.00	μB per cell
total DFT energy (no corrections)	-67.24	eV per cell
formation energy	0.85	kJ/mol of atoms

DFT (PBE-GGA) results for an optimized crystal structure of Nd6Sm2Y.

Geometry as POSCAR:
```
Nd6Sm2Y
1.0
-3.936 -3.626 3.296
-0.071 -7.663 -6.799
7.119 -6.871 2.658
Y Nd Sm
2 12 4
Cartesian
-2.310 -10.304 -3.389
5.422 -7.856 2.545
1.068 -9.916 -5.348
2.044 -8.243 4.503
-0.079 -3.759 -1.685
-1.136 -6.997 -3.916
0.943 -9.831 -1.986
3.183 -12.805 -3.407
3.191 -14.401 0.840
-0.071 -5.354 2.562
2.168 -8.328 1.141
4.248 -11.162 3.071
0.982 -11.423 2.302
2.130 -6.736 -3.147
2.736 -5.069 -0.150
-0.676 -7.041 -0.402
3.788 -11.119 -0.443
0.375 -13.091 -0.695
```

Fermi-level density of states	25.04	states/eV per cell
size of the total moment	0.00	μB per cell
total DFT energy (no corrections)	-87.58	eV per cell
energy relative to the lowest polymorph listed for this composition	0	meV per atom
formation energy	7.70	kJ/mol of atoms

DFT (PBE-GGA) results for an optimized crystal structure of Nd2SmY.

Geometry as POSCAR:
```
Nd2SmY
1.0
-3.620 -0.422 -0.069
-1.441 -3.237 -0.853
-1.548 -4.294 11.122
Nd Y Sm
2 1 1
Cartesian
-4.957 -5.960 7.631
-1.652 -1.993 2.568
-3.304 -3.977 5.099
0.000 0.000 0.000
```

Fermi-level density of states	4.99	states/eV per cell
size of the total moment	0.00	μB per cell
total DFT energy (no corrections)	-20.68	eV per cell
energy relative to the lowest polymorph listed for this composition	0	meV per atom
formation energy	1.00	kJ/mol of atoms

DFT (PBE-GGA) results for an optimized crystal structure of Nd3Sm4Y.

Geometry as POSCAR:
```
Nd3Sm4Y
1.0
6.380 0.000 0.000
0.000 7.384 0.000
0.000 0.000 11.738
Nd Y Sm
6 2 8
Cartesian
6.266 4.617 8.802
3.075 2.766 2.933
6.266 4.617 2.936
0.945 2.759 5.869
4.135 4.625 0.000
3.075 2.766 8.805
0.937 2.758 0.000
4.127 4.626 5.869
0.939 6.474 5.869
3.062 6.466 8.784
4.129 0.909 0.000
6.252 0.917 8.823
0.952 6.461 0.000
3.062 6.466 2.954
4.142 0.923 5.869
6.252 0.917 2.915
```

Fermi-level density of states	28.26	states/eV per cell
size of the total moment	0.00	μB per cell
total DFT energy (no corrections)	-78.84	eV per cell
energy relative to the lowest polymorph listed for this composition	0	meV per atom
formation energy	2.71	kJ/mol of atoms

DFT (PBE-GGA) results for an optimized crystal structure of Nd2SmY12.

Geometry as POSCAR:
```
Nd2SmY12
1.0
-4.783 -3.893 2.684
0.390 0.054 -6.714
16.007 -19.133 0.776
Y Nd Sm
24 4 2
Cartesian
3.188 -3.810 0.154
5.248 -6.273 0.254
5.705 -8.928 -4.085
13.066 -17.634 -3.690
12.820 -15.323 0.621
13.674 -18.608 -0.300
-1.456 -5.342 0.431
3.668 -11.338 -2.554
8.563 -14.780 -1.494
6.004 -9.312 -0.794
5.816 -14.126 0.745
-2.051 -4.357 -2.970
0.137 -2.445 -0.940
11.469 -20.533 -2.299
10.623 -17.242 -1.394
1.136 -3.364 -4.264
10.760 -12.861 0.521
7.807 -11.741 -0.445
10.484 -19.603 1.014
3.051 -8.192 -1.761
5.751 -13.553 -2.715
0.991 -5.730 -1.860
8.496 -12.070 -3.868
3.212 -10.819 0.700
9.283 -15.901 1.908
11.945 -14.018 -2.788
4.528 -5.152 -3.147
1.865 -7.035 1.548
13.611 -21.074 2.117
0.200 0.021 -3.357
```

Fermi-level density of states	53.34	states/eV per cell
size of the total moment	0.00	μB per cell
total DFT energy (no corrections)	-178.64	eV per cell
formation energy	16.12	kJ/mol of atoms

DFT (PBE-GGA) results for an optimized crystal structure of NdSm3Y3.

Geometry as POSCAR:
```
NdSm3Y3
1.0
5.957 0.000 1.914
2.671 5.325 1.914
-1.478 -0.912 14.825
Nd Y Sm
2 6 6
Cartesian
1.398 0.863 16.100
5.752 3.550 2.553
1.376 -0.377 12.758
2.896 3.013 4.619
4.254 1.399 14.035
5.773 4.790 5.896
1.171 3.175 13.396
5.979 1.237 5.257
6.014 2.494 8.569
4.232 0.155 10.729
2.918 4.257 7.924
3.141 0.699 7.290
4.008 3.713 11.363
1.136 1.918 10.084
```

Fermi-level density of states	22.41	states/eV per cell
size of the total moment	0.00	μB per cell
total DFT energy (no corrections)	-74.52	eV per cell
energy relative to the lowest polymorph listed for this composition	0	meV per atom
formation energy	14.58	kJ/mol of atoms

DFT (PBE-GGA) results for an optimized crystal structure of Nd9SmY2.

Geometry as POSCAR:
```
Nd9SmY2
1.0
5.175 0.000 0.000
0.000 5.175 0.000
0.000 0.000 15.512
Sm Nd Y
1 9 2
Cartesian
0.000 0.000 0.000
2.588 2.588 0.000
2.588 0.000 12.919
2.588 2.588 10.331
0.000 2.588 7.756
0.000 2.588 12.919
0.000 2.588 2.593
2.588 0.000 2.593
2.588 2.588 5.180
2.588 0.000 7.756
0.000 0.000 10.332
0.000 0.000 5.180
```

Fermi-level density of states	20.31	states/eV per cell
size of the total moment	0.00	μB per cell
total DFT energy (no corrections)	-60.39	eV per cell
formation energy	1.33	kJ/mol of atoms

DFT (PBE-GGA) results for an optimized crystal structure of NdSm4Y.

Geometry as POSCAR:
```
NdSm4Y
1.0
-1.542 4.868 -0.458
-14.042 -4.828 -4.056
-3.007 -3.230 4.486
Sm Y Nd
8 2 2
Cartesian
-7.015 1.638 -2.033
-3.841 -2.417 1.568
-6.958 -0.790 0.661
-13.264 -3.212 -3.832
-5.326 0.022 3.804
-11.632 -2.399 -0.689
-14.749 -0.772 -1.595
-11.575 -4.827 2.006
-2.274 0.819 2.014
-8.524 -4.029 0.215
-3.896 0.011 -1.129
-11.687 0.029 -3.385
```

Fermi-level density of states	16.33	states/eV per cell
size of the total moment	0.00	μB per cell
total DFT energy (no corrections)	-60.05	eV per cell
energy relative to the lowest polymorph listed for this composition	0	meV per atom
formation energy	1.33	kJ/mol of atoms

DFT (PBE-GGA) results for an optimized crystal structure of Nd8Sm6Y.

Geometry as POSCAR:
```
Nd8Sm6Y
1.0
6.701 0.000 0.000
0.000 8.256 -4.767
0.000 0.000 9.534
Sm Y Nd
6 1 8
Cartesian
2.308 0.715 3.694
2.308 4.700 3.539
4.393 3.556 1.228
4.393 7.542 1.073
2.308 2.842 7.068
4.393 5.415 -2.301
3.350 0.000 0.000
1.082 6.145 -3.270
5.619 5.904 3.687
5.951 2.752 4.767
1.082 8.015 2.190
5.619 2.111 8.037
1.082 2.352 1.080
0.750 5.504 0.000
5.619 0.241 2.577
```

Fermi-level density of states	21.79	states/eV per cell
size of the total moment	0.00	μB per cell
total DFT energy (no corrections)	-70.47	eV per cell
energy relative to the lowest polymorph listed for this composition	48	meV per atom
formation energy	15.74	kJ/mol of atoms

DFT (PBE-GGA) results for an optimized crystal structure of Nd3Sm8Y4.

Geometry as POSCAR:
```
Nd3Sm8Y4
1.0
6.932 -0.062 -0.089
-3.305 8.527 1.561
-3.305 -1.496 8.538
Nd Sm Y
3 8 4
Cartesian
1.814 -0.779 4.224
0.161 3.484 5.005
1.814 4.232 0.736
0.161 0.967 6.757
-3.321 4.929 7.081
3.643 2.039 2.929
0.122 5.238 7.525
0.161 6.001 3.253
0.200 1.730 2.485
-3.305 5.556 3.629
-3.305 1.474 6.471
0.000 0.000 0.000
-1.653 4.263 0.780
3.466 -0.031 -0.045
-1.653 -0.748 4.269
```

Fermi-level density of states	24.45	states/eV per cell
size of the total moment	0.00	μB per cell
total DFT energy (no corrections)	-72.88	eV per cell
formation energy	32.39	kJ/mol of atoms